# 1
{"formula": "PuBrF", "functional": "PBE", "state": "optimized geometry", "cell": [[6.7017, 0.0000, 0.0000], [0.0000, 6.7017, 0.0000], [0.0000, 0.0000, 6.7017]], "species": ["Pu", "Pu", "Pu", "Pu", "Br", "Br", "Br", "Br", "F", "F", "F", "F"], "fractional_positions": [[0.0000, 0.0000, 0.0000], [0.0000, 0.5000, 0.5000], [0.5000, 0.0000, 0.5000], [0.5000, 0.5000, 0.0000], [0.2500, 0.2500, 0.2500], [0.2500, 0.7500, 0.7500], [0.7500, 0.2500, 0.7500], [0.7500, 0.7500, 0.2500], [0.2500, 0.2500, 0.7500], [0.2500, 0.7500, 0.2500], [0.7500, 0.2500, 0.2500], [0.7500, 0.7500, 0.7500]], "sg": "F-43m (216)", "energy_ev_per_atom": -7.951, "formation_energy_uncorrected_ev_per_atom": -1.992}

---

# 2
{"formula": "RbPuBr2F8", "functional": "PBE", "state": "optimized geometry", "cell": [[6.7737, 0.0000, 0.0000], [-3.3869, 5.8662, 0.0000], [0.0000, 0.0000, 7.5541]], "species": ["Rb", "Pu", "Br", "Br", "F", "F", "F", "F", "F", "F", "F", "F"], "fractional_positions": [[0.0000, 0.0000, 0.0000], [0.0000, 0.0000, 0.5000], [0.3333, 0.6667, 0.3585], [0.6667, 0.3333, 0.6415], [0.1387, 0.2774, 0.6705], [0.1387, 0.8613, 0.6705], [0.2774, 0.1387, 0.3295], [0.3333, 0.6667, 0.1192], [0.6667, 0.3333, 0.8808], [0.7226, 0.8613, 0.6705], [0.8613, 0.1387, 0.3295], [0.8613, 0.7226, 0.3295]], "sg": "P-3m1 (164)", "energy_ev_per_atom": -4.964, "formation_energy_uncorrected_ev_per_atom": -2.163}

---

# 3
{"formula": "PuTl2Br3F3", "functional": "PBE", "state": "optimized geometry", "cell": [[8.3726, 0.0000, 0.0000], [-4.1863, 7.2509, 0.0000], [0.0000, 0.0000, 3.7130]], "species": ["Pu", "Tl", "Tl", "Br", "Br", "Br", "F", "F", "F"], "fractional_positions": [[0.0000, 0.0000, 0.0000], [0.3333, 0.6667, 0.5000], [0.6667, 0.3333, 0.5000], [0.0000, 0.3701, 0.0000], [0.3701, 0.0000, 0.0000], [0.6299, 0.6299, 0.0000], [0.0000, 0.8246, 0.5000], [0.1754, 0.1754, 0.5000], [0.8246, 0.0000, 0.5000]], "sg": "P-62m (189)", "energy_ev_per_atom": -5.187, "formation_energy_uncorrected_ev_per_atom": -1.887}

---

# 4
{"formula": "PuTl2Br4F2", "functional": "PBE", "state": "optimized geometry", "cell": [[6.1188, -3.9714, 0.0000], [6.1188, 3.9714, 0.0000], [-0.6674, 0.0000, 5.7971]], "species": ["Pu", "Tl", "Tl", "Br", "Br", "Br", "Br", "F", "F"], "fractional_positions": [[0.0000, 0.0000, 0.0000], [0.3247, 0.3247, 0.7185], [0.6753, 0.6753, 0.2815], [0.1440, 0.6316, 0.2125], [0.3684, 0.8560, 0.7875], [0.6316, 0.1440, 0.2125], [0.8560, 0.3684, 0.7875], [0.1259, 0.1259, 0.2667], [0.8741, 0.8741, 0.7333]], "sg": "C2/m (12)", "energy_ev_per_atom": -4.961, "formation_energy_uncorrected_ev_per_atom": -1.683}

---

# 5
{"formula": "Rb5Br4F", "functional": "PBE", "state": "optimized geometry", "cell": [[-5.3227, 5.3227, 3.4826], [5.3227, -5.3227, 3.4826], [5.3227, 5.3227, -3.4826]], "species": ["Rb", "Rb", "Rb", "Rb", "Rb", "Br", "Br", "Br", "Br", "F"], "fractional_positions": [[0.0000, 0.0000, 0.0000], [0.2903, 0.6491, 0.8183], [0.4720, 0.2903, 0.6412], [0.6491, 0.8308, 0.3588], [0.8308, 0.4720, 0.1817], [0.1559, 0.3626, 0.3925], [0.3626, 0.9701, 0.2067], [0.7634, 0.1559, 0.7933], [0.9701, 0.7634, 0.6075], [0.6054, 0.6054, 0.0000]], "sg": "I4 (79)", "energy_ev_per_atom": -3.238, "formation_energy_uncorrected_ev_per_atom": -1.897}

---

# 6
{"formula": "Rb2Br3F6", "functional": "PBE", "state": "optimized geometry", "cell": [[4.8582, -4.2094, 0.0000], [4.8582, 4.2094, 0.0000], [-3.9360, 0.0000, 13.9701]], "species": ["Rb", "Rb", "Rb", "Rb", "Br", "Br", "Br", "Br", "Br", "Br", "F", "F", "F", "F", "F", "F", "F", "F", "F", "F", "F", "F"], "fractional_positions": [[0.2219, 0.7230, 0.5105], [0.2770, 0.7781, 0.9895], [0.7230, 0.2219, 0.0105], [0.7781, 0.2770, 0.4895], [0.1321, 0.2087, 0.2616], [0.2087, 0.1321, 0.7616], [0.4656, 0.5344, 0.2500], [0.5344, 0.4656, 0.7500], [0.7913, 0.8679, 0.2384], [0.8679, 0.7913, 0.7384], [0.1120, 0.1225, 0.6240], [0.1225, 0.1120, 0.1240], [0.1381, 0.3054, 0.3992], [0.3054, 0.1381, 0.8992], [0.4101, 0.4763, 0.1100], [0.4763, 0.4101, 0.6100], [0.5237, 0.5899, 0.3900], [0.5899, 0.5237, 0.8900], [0.6946, 0.8619, 0.1008], [0.8619, 0.6946, 0.6008], [0.8775, 0.8880, 0.8760], [0.8880, 0.8775, 0.3760]], "sg": "C2/c (15)", "energy_ev_per_atom": -3.166, "formation_energy_uncorrected_ev_per_atom": -1.513}